This record from Alexandria describes an optimized crystal structure of Li2GaHRh. The functional is PBE-GGA.

Computed properties:
total moment	0.00	μB per cell
raw total energy	-3.9169	eV/atom

Unit cell a=3.805 b=3.805 c=3.832 alpha=90.00 beta=90.00 gamma=90.00
Atoms (fractional coordinates):
1 Li 0.000 0.500 0.000
2 Li 0.500 0.000 0.000
3 Ga 0.000 0.000 0.500
4 H 0.500 0.500 0.000
5 Rh 0.500 0.500 0.500


This record from Alexandria describes an optimized crystal structure of Mg2Tc. The functional is PBE-GGA.

Computed properties:
total moment	0.00	μB per cell
raw total energy	-4.3312	eV/atom

Unit cell a=5.464 b=5.464 c=5.464 alpha=101.79 beta=101.79 gamma=126.24
Atoms (fractional coordinates):
1 Mg 0.171 0.671 0.843
2 Mg 0.329 0.171 0.500
3 Mg 0.671 0.829 0.500
4 Mg 0.829 0.329 0.157
5 Tc 0.250 0.250 0.000
6 Tc 0.750 0.750 0.000


This record from Alexandria describes an optimized crystal structure of CsZrBe2. The functional is PBE-GGA.

Computed properties:
total moment	0.00	μB per cell
raw total energy	-2.7627	eV/atom

Unit cell a=5.047 b=5.047 c=5.047 alpha=60.00 beta=60.00 gamma=60.00
Atoms (fractional coordinates):
1 Cs 0.000 0.000 0.000
2 Zr 0.500 0.500 0.500
3 Be 0.250 0.250 0.250
4 Be 0.750 0.750 0.750


This record from Alexandria describes an optimized crystal structure of Sr2Dy2Tl7. The functional is PBE-GGA.

Computed properties:
total moment	0.00	μB per cell
raw total energy	-2.6454	eV/atom

Unit cell a=7.890 b=7.890 c=6.369 alpha=90.00 beta=90.00 gamma=95.52
Atoms (fractional coordinates):
1 Sr 0.193 0.193 0.000
2 Sr 0.807 0.807 0.000
3 Dy 0.268 0.732 0.500
4 Dy 0.732 0.268 0.500
5 Tl 0.000 0.000 0.500
6 Tl 0.000 0.500 0.246
7 Tl 0.000 0.500 0.754
8 Tl 0.500 0.000 0.246
9 Tl 0.500 0.000 0.754
10 Tl 0.500 0.500 0.241
11 Tl 0.500 0.500 0.759


This record from Alexandria describes an optimized crystal structure of Te2MoAu. The functional is PBE-GGA.

Computed properties:
total moment	1.07	μB per cell
E_form (uncorrected)	0.190	eV per atom

Unit cell a=7.124 b=7.124 c=4.794 alpha=109.48 beta=109.48 gamma=26.24
Atoms (fractional coordinates):
1 Te 0.167 0.167 0.168
2 Te 0.833 0.833 0.832
3 Mo 0.500 0.500 0.000
4 Au 0.000 0.000 0.500


This record from Alexandria describes an optimized crystal structure of Tb5Pm4Pr. The functional is PBE-GGA.

Computed properties:
total moment	0.00	μB per cell
raw total energy	-4.6798	eV/atom

Unit cell a=13.016 b=13.016 c=7.219 alpha=97.98 beta=97.98 gamma=15.97
Atoms (fractional coordinates):
1 Tb 0.000 0.000 0.000
2 Tb 0.201 0.201 0.100
3 Tb 0.201 0.201 0.601
4 Tb 0.799 0.799 0.399
5 Tb 0.799 0.799 0.900
6 Pm 0.398 0.398 0.701
7 Pm 0.399 0.399 0.197
8 Pm 0.601 0.601 0.803
9 Pm 0.602 0.602 0.299
10 Pr 0.000 0.000 0.500


This record from Alexandria describes an optimized crystal structure of ReAg2Os. The functional is PBE-GGA.

Computed properties:
total moment	0.00	μB per cell
raw total energy	-6.5289	eV/atom

Unit cell a=5.383 b=5.383 c=5.383 alpha=147.08 beta=127.65 gamma=63.24
Atoms (fractional coordinates):
1 Re 0.000 0.000 0.000
2 Ag 0.266 0.766 0.500
3 Ag 0.529 0.529 0.000
4 Os 0.793 0.293 0.500


This record from Alexandria describes an optimized crystal structure of Hf3HgC. The functional is PBE-GGA.

Computed properties:
total moment	0.00	μB per cell
raw total energy	-8.2798	eV/atom

Unit cell a=7.732 b=7.732 c=9.335 alpha=125.24 beta=125.24 gamma=24.50
Atoms (fractional coordinates):
1 Hf 0.068 0.068 0.190
2 Hf 0.318 0.318 0.450
3 Hf 0.324 0.324 0.949
4 Hf 0.676 0.676 0.051
5 Hf 0.682 0.682 0.550
6 Hf 0.932 0.932 0.810
7 Hg 0.073 0.073 0.695
8 Hg 0.927 0.927 0.305
9 C 0.308 0.308 0.687
10 C 0.692 0.692 0.313


This record from Alexandria describes an optimized crystal structure of TbScCdTc. The functional is PBE-GGA.

Computed properties:
total moment	0.00	μB per cell
raw total energy	-5.6766	eV/atom

Unit cell a=4.918 b=4.918 c=4.918 alpha=60.00 beta=60.00 gamma=60.00
Atoms (fractional coordinates):
1 Tb 0.000 0.000 0.000
2 Sc 0.500 0.500 0.500
3 Cd 0.250 0.250 0.250
4 Tc 0.750 0.750 0.750


This record from Alexandria describes an optimized crystal structure of Ca4In5Si2. The functional is PBE-GGA.

Computed properties:
total moment	0.00	μB per cell
E_form (uncorrected)	-0.349	eV per atom

Unit cell a=7.847 b=4.141 c=9.057 alpha=90.00 beta=92.64 gamma=90.00
Atoms (fractional coordinates):
1 Ca 0.194 0.000 0.350
2 Ca 0.227 0.000 0.916
3 Ca 0.773 0.000 0.084
4 Ca 0.806 0.000 0.650
5 In 0.139 0.500 0.633
6 In 0.444 0.500 0.163
7 In 0.500 0.500 0.500
8 In 0.556 0.500 0.837
9 In 0.861 0.500 0.367
10 Si 0.069 0.500 0.120
11 Si 0.931 0.500 0.880


This record from Alexandria describes an optimized crystal structure of SrLi2NiHg. The functional is PBE-GGA.

Computed properties:
total moment	0.00	μB per cell
raw total energy	-2.3808	eV/atom

Unit cell a=4.779 b=4.779 c=5.084 alpha=90.00 beta=90.00 gamma=90.00
Atoms (fractional coordinates):
1 Sr 0.000 0.000 0.000
2 Li 0.000 0.500 0.500
3 Li 0.500 0.000 0.500
4 Ni 0.500 0.500 0.500
5 Hg 0.500 0.500 0.000


This record from Alexandria describes an optimized crystal structure of La3Tb2PmHo6. The functional is PBE-GGA.

Computed properties:
total moment	0.00	μB per cell
raw total energy	-4.6698	eV/atom

Unit cell a=6.243 b=6.243 c=11.835 alpha=95.03 beta=95.03 gamma=120.00
Atoms (fractional coordinates):
1 La 0.000 0.000 0.000
2 La 0.333 0.667 0.000
3 La 0.667 0.333 0.000
4 Tb 0.167 0.833 0.500
5 Tb 0.833 0.167 0.500
6 Pm 0.500 0.500 0.500
7 Ho 0.085 0.418 0.254
8 Ho 0.248 0.248 0.746
9 Ho 0.418 0.085 0.254
10 Ho 0.582 0.915 0.746
11 Ho 0.752 0.752 0.254
12 Ho 0.915 0.582 0.746